1.
This record from Alexandria describes a relaxed Ge3BS crystal. The functional is GGA-PBE.

Cell: 4.439 4.439 4.439 Å, 90.00 90.00 90.00°
Element x y z (fractional)
Ge 0.000 0.000 0.500
Ge 0.000 0.500 0.000
Ge 0.500 0.000 0.000
B 0.000 0.000 0.000
S 0.500 0.500 0.500

Properties
SG: Pm-3m
Offset from the most stable computed form (eV/atom): 0.000
Total magnetization (μB/f.u.): 0.00
Formation energy without anion corrections (eV/atom): 0.66

***

2.
This record from Alexandria describes a relaxed CaLaEu2 crystal. The functional is GGA-PBE.

Cell: 3.826 3.826 11.163 Å, 90.00 90.00 90.00°
Element x y z (fractional)
Ca 0.000 0.000 0.000
La 0.000 0.000 0.500
Eu 0.500 0.500 0.257
Eu 0.500 0.500 0.743

Properties
SG: P4/mmm
Offset from the most stable computed form (eV/atom): 0.015
Total magnetization (μB/f.u.): 14.80
Energy relative to the elements (kJ/mol of atoms): 5

***

3.
This record from Alexandria describes a relaxed Y3Tl2 crystal. The functional is GGA-PBE.

Cell: 12.430 6.676 13.847 Å, 63.74 28.79 87.47°
Element x y z (fractional)
Y 0.000 0.000 0.000
Y 0.250 0.250 0.250
Y 0.257 0.765 0.540
Y 0.710 0.811 0.993
Y 0.765 0.257 0.439
Y 0.811 0.710 0.485
Tl 0.344 0.637 0.733
Tl 0.517 0.963 0.906
Tl 0.637 0.344 0.287
Tl 0.963 0.517 0.613

Properties
SG: Fdd2
Offset from the most stable computed form (eV/atom): 0.162
Total magnetization (μB/f.u.): 0.00
Energy relative to the elements (kJ/mol of atoms): -17

***

4.
This record from Alexandria describes a relaxed EuMgRh2 crystal. The functional is GGA-PBE.

Cell: 3.310 3.310 6.664 Å, 90.00 90.00 90.00°
Element x y z (fractional)
Eu 0.000 0.000 0.000
Mg 0.000 0.000 0.500
Rh 0.500 0.500 0.281
Rh 0.500 0.500 0.719

Properties
SG: P4/mmm
Total magnetization (μB/f.u.): 6.68
Energy relative to the elements (kJ/mol of atoms): -34

***

5.
This record from Alexandria describes a relaxed CdAs2S crystal. The functional is GGA-PBE.

Cell: 7.879 7.879 7.879 Å, 138.62 138.62 59.95°
Element x y z (fractional)
Cd 0.000 0.000 0.000
Cd 0.750 0.250 0.500
As 0.164 0.625 0.039
As 0.375 0.414 0.539
As 0.586 0.125 0.961
As 0.875 0.836 0.461
S 0.250 0.750 0.500
S 0.500 0.500 0.000

Properties
SG: I-42d
Offset from the most stable computed form (eV/atom): 0.000
Total magnetization (μB/f.u.): 0.00
Formation energy without anion corrections (eV/atom): 0.30

***

6.
This record from Alexandria describes a relaxed YIn3Pt2 crystal. The functional is GGA-PBE.

Cell: 9.564 9.564 11.461 Å, 106.77 106.77 23.76°
Element x y z (fractional)
Y 0.000 0.000 0.000
Y 0.157 0.157 0.700
Y 0.843 0.843 0.300
In 0.036 0.036 0.331
In 0.217 0.217 0.394
In 0.325 0.325 0.033
In 0.376 0.376 0.801
In 0.500 0.500 0.500
In 0.624 0.624 0.199
In 0.675 0.675 0.967
In 0.783 0.783 0.606
In 0.964 0.964 0.669
Pt 0.221 0.221 0.156
Pt 0.363 0.363 0.524
Pt 0.469 0.469 0.170
Pt 0.531 0.531 0.830
Pt 0.637 0.637 0.476
Pt 0.779 0.779 0.844

Properties
SG: C2/m
Total magnetization (μB/f.u.): 0.00
Energy relative to the elements (kJ/mol of atoms): -58

***

7.
This record from Alexandria describes a relaxed SmY4Mg5 crystal. The functional is GGA-PBE.

Cell: 3.810 3.810 19.075 Å, 90.00 90.00 90.00°
Element x y z (fractional)
Sm 0.000 0.000 0.000
Y 0.000 0.000 0.202
Y 0.000 0.000 0.401
Y 0.000 0.000 0.599
Y 0.000 0.000 0.798
Mg 0.500 0.500 0.103
Mg 0.500 0.500 0.302
Mg 0.500 0.500 0.500
Mg 0.500 0.500 0.698
Mg 0.500 0.500 0.897

Properties
SG: P4/mmm
Total magnetization (μB/f.u.): 0.00
Energy relative to the elements (kJ/mol of atoms): -10

***

8.
This record from Alexandria describes a relaxed BaDy2Se4 crystal. The functional is GGA-PBE.

Cell: 12.860 4.216 15.220 Å, 90.00 90.00 90.00°
Element x y z (fractional)
Ba 0.241 0.250 0.165
Ba 0.259 0.750 0.665
Ba 0.741 0.250 0.335
Ba 0.759 0.750 0.835
Dy 0.064 0.250 0.391
Dy 0.079 0.250 0.900
Dy 0.421 0.750 0.400
Dy 0.436 0.750 0.891
Dy 0.564 0.250 0.109
Dy 0.579 0.250 0.600
Dy 0.921 0.750 0.100
Dy 0.936 0.750 0.609
Se 0.024 0.750 0.783
Se 0.085 0.250 0.577
Se 0.126 0.750 0.025
Se 0.206 0.750 0.337
Se 0.294 0.250 0.837
Se 0.374 0.250 0.525
Se 0.415 0.750 0.077
Se 0.476 0.250 0.283
Se 0.524 0.750 0.717
Se 0.585 0.250 0.923
Se 0.626 0.750 0.475
Se 0.706 0.750 0.163
Se 0.794 0.250 0.663
Se 0.874 0.250 0.975
Se 0.915 0.750 0.423
Se 0.976 0.250 0.217

Properties
SG: Pnma
Offset from the most stable computed form (eV/atom): 0.000
Total magnetization (μB/f.u.): 0.00
Formation energy without anion corrections (eV/atom): -1.98

***

9.
This record from Alexandria describes a relaxed Tm5Tl2HO crystal. The functional is GGA-PBE.

Cell: 9.356 9.356 12.155 Å, 90.00 90.00 156.96°
Element x y z (fractional)
Tm 0.008 0.992 0.500
Tm 0.177 0.823 0.185
Tm 0.186 0.814 0.573
Tm 0.221 0.779 0.859
Tm 0.453 0.547 0.243
Tm 0.547 0.453 0.743
Tm 0.779 0.221 0.359
Tm 0.814 0.186 0.073
Tm 0.823 0.177 0.685
Tm 0.992 0.008 0.000
Tl 0.377 0.623 0.495
Tl 0.389 0.611 0.870
Tl 0.611 0.389 0.370
Tl 0.623 0.377 0.995
H 0.302 0.698 0.216
H 0.698 0.302 0.716
O 0.072 0.928 0.657
O 0.928 0.072 0.157

Properties
SG: Cmc2_1
Raw total energy (eV/atom): -4.76
Total magnetization (μB/f.u.): 0.48

***

10.
This record from Alexandria describes a relaxed BeAs2BrN crystal. The functional is GGA-PBE.

Cell: 4.296 4.296 4.735 Å, 90.00 90.00 90.00°
Element x y z (fractional)
Be 0.000 0.000 0.000
As 0.000 0.500 0.500
As 0.500 0.000 0.500
Br 0.500 0.500 0.000
N 0.500 0.500 0.500

Properties
SG: P4/mmm
Offset from the most stable computed form (eV/atom): 0.000
Total magnetization (μB/f.u.): 0.00
Formation energy without anion corrections (eV/atom): 1.24

***

11.
This record from Alexandria describes a relaxed CsYSbI2 crystal. The functional is GGA-PBE.

Cell: 6.555 6.555 6.386 Å, 90.00 90.00 90.00°
Element x y z (fractional)
Cs 0.000 0.000 0.000
Y 0.500 0.500 0.500
Sb 0.000 0.000 0.500
I 0.000 0.500 0.000
I 0.500 0.000 0.000

Properties
SG: P4/mmm
Offset from the most stable computed form (eV/atom): 1.413
Total magnetization (μB/f.u.): 0.05
Formation energy without anion corrections (eV/atom): 0.48

***

12.
This record from Alexandria describes a relaxed Tb2Nd2Sb3 crystal. The functional is GGA-PBE.

Cell: 7.520 7.520 7.574 Å, 98.19 98.19 33.93°
Element x y z (fractional)
Tb 0.125 0.125 0.378
Tb 0.875 0.875 0.622
Nd 0.379 0.379 0.117
Nd 0.621 0.621 0.883
Sb 0.247 0.247 0.747
Sb 0.500 0.500 0.500
Sb 0.753 0.753 0.253

Properties
SG: C2/m
Offset from the most stable computed form (eV/atom): 0.137
Total magnetization (μB/f.u.): 0.00
Formation energy without anion corrections (eV/atom): -0.89